Material: K2PrZrTe4
Method: DFT, PBE
State: optimized geometry Values from VASP.

The structure in Quantum ESPRESSO input format:
```
&SYSTEM
  ibrav = 0, nat = 8, ntyp = 4
/
ATOMIC_SPECIES
K 39.10 K.upf
Pr 140.91 Pr.upf
Zr 91.22 Zr.upf
Te 127.60 Te.upf
CELL_PARAMETERS angstrom
7.6855 0.0000 0.0000
0.0000 4.3826 0.0000
-2.4971 0.0000 8.3544
ATOMIC_POSITIONS crystal
K 0.0000 0.0000 0.0000
K 0.5000 0.5000 0.0000
Pr 0.0000 0.5000 0.5000
Zr 0.5000 0.0000 0.5000
Te 0.2576 0.0000 0.7148
Te 0.2831 0.5000 0.2946
Te 0.7169 0.5000 0.7054
Te 0.7424 0.0000 0.2852
```

Total moment in Bohr magnetons per cell: 0.00
Raw total energy in eV/atom: -4.67
Raw formation energy in meV per atom: -1159
Space group: No. 10